(1)
Below is GaAgPb2Se after structural relaxation, with properties calculated at the GGA-PBE level.

The calculation puts the total magnetization at 0.00 μB/f.u. As for the density of states at the Fermi level: 0.4736 states/eV/atom. As for the formation energy (no corrections): -0.024 eV per atom. The energy above the lowest structure with this stoichiometry is 52 meV per atom.

a b c (Å): 3.544 3.545 10.283
angles (deg): 90.00 90.28 90.00
Space group Pm (No. 6)
Asymmetric unit:
Ga (0.000, 0.000, 0.000) [1 per cell]
Ag (0.496, 0.500, 0.358) [1 per cell]
Pb (0.508, 0.500, 0.773) [1 per cell]
Pb (0.998, 0.000, 0.531) [1 per cell]
Se (0.500, 0.500, 0.102) [1 per cell]


(2)
Below is GaAgPb2Se after structural relaxation, with properties calculated at the GGA-PBE level.

The calculation puts the total magnetization at 0.00 μB/f.u. As for the density of states at the Fermi level: 0.3066 states/eV/atom. As for the formation energy (no corrections): -0.048 eV per atom. The energy above the lowest structure with this stoichiometry is 28 meV per atom.

a b c (Å): 3.662 5.901 6.212
angles (deg): 102.34 101.70 91.98
Space group P1 (No. 1)
Asymmetric unit:
Ga (0.000, 0.000, 0.000) [1 per cell]
Ag (0.130, 0.689, 0.249) [1 per cell]
Pb (0.348, 0.573, 0.727) [1 per cell]
Pb (0.747, 0.056, 0.516) [1 per cell]
Se (0.562, 0.318, 0.130) [1 per cell]